1.
Zr2VPbN, optimized geometry, DFT PBE; V = 85.9 Å³/cell; formation energy (no corrections) = -0.607 eV/atom; symmetry = P4/mmm
1.0
-3.0355 -1.7103 -3.1272
0.0754 -4.1374 2.1896
-2.9818 1.1458 2.2677
Pb N Zr V
1 1 2 1
direct
0.5000 0.5000 0.5000
0.0000 0.0000 0.0000
0.0000 0.5000 0.0000
0.5000 0.0000 0.0000
0.0000 0.0000 0.5000

2.
Ba2SrAu, optimized geometry, DFT PBE; DFT formation energy = -366 meV per atom; V = 205.9 Å³/cell; ΔE to the lowest computed polymorph = 36 meV per atom; symmetry = R3m
1.0
11.4595 0.0056 0.0033
10.5267 4.5286 0.0033
10.5267 2.1709 3.9744
Sr Au Ba
1 1 2
direct
0.4701 0.4701 0.4701
0.7532 0.7532 0.7532
0.0300 0.0300 0.0300
0.2466 0.2466 0.2466

3.
RbSbAs2Pb, optimized geometry, DFT PBE; V = 185.1 Å³/cell; formation energy (no corrections) = 0.522 eV/atom; ΔE to the lowest computed polymorph = 615 meV per atom; symmetry = P4/mmm
1.0
-0.4037 3.3653 -4.4490
-5.0289 2.2503 2.1585
2.9195 3.9284 2.7066
Pb Sb As Rb
1 1 2 1
direct
0.0000 0.0000 0.0000
0.0000 0.5000 0.0000
0.0000 0.0000 0.5000
0.5000 0.0000 0.0000
0.5000 0.5000 0.5000

4.
Ac2HgRh, optimized geometry, DFT PBE; DFT formation energy = -588 meV per atom; V = 134.7 Å³/cell; ΔE to the lowest computed polymorph = 22 meV per atom; symmetry = P-3m1
1.0
-2.5736 1.4319 3.1839
-1.5537 -2.7486 -2.9739
2.2802 -6.3946 4.7191
Ac Hg Rh
2 1 1
direct
0.6667 0.8334 0.8017
0.3333 0.1666 0.1983
0.0000 0.5000 0.5000
0.0000 0.5000 0.0000

5.
ErCu2Si, optimized geometry, DFT PBE; V = 66.7 Å³/cell; formation energy (no corrections) = -0.369 eV/atom; symmetry = R-3m
1.0
-2.7577 -1.6989 -2.4357
1.1545 -2.6917 -2.8010
-1.1267 -4.9355 1.3467
Si Cu Er
1 2 1
direct
0.0000 0.0000 0.0000
0.2926 0.2926 0.1221
0.7074 0.7074 0.8779
0.5000 0.5000 0.5000

6.
Tl5CrS5, optimized geometry, DFT PBE; V = 287.9 Å³/cell; formation energy (no corrections) = -0.259 eV/atom; symmetry = C2/m
1.0
-0.7286 -0.9643 -5.6468
-4.9200 -3.3362 4.1574
-2.2638 7.5892 -1.0039
Tl Cr S
5 1 5
direct
0.6897 0.3793 0.3117
0.6478 0.2956 0.7950
0.0000 0.0000 0.5000
0.3522 0.7044 0.2050
0.3103 0.6207 0.6883
0.0000 0.0000 0.0000
0.8564 0.7128 0.1077
0.8764 0.7529 0.7170
0.5000 0.0000 0.0000
0.1236 0.2471 0.2830
0.1436 0.2872 0.8923

7.
Tm2Th2Sc, optimized geometry, DFT PBE; DFT formation energy = 94 meV per atom; V = 607.8 Å³/cell; ΔE to the lowest computed polymorph = 50 meV per atom; symmetry = Pnma
1.0
5.4622 0.0000 0.0000
0.0000 6.9073 0.0000
0.0000 0.0000 16.1101
Tm Th Sc
8 8 4
direct
0.7500 0.6262 0.5388
0.2500 0.8738 0.0388
0.2500 0.3738 0.4612
0.7500 0.1262 0.9612
0.7500 0.8779 0.3525
0.2500 0.6221 0.8525
0.2500 0.1221 0.6475
0.7500 0.3779 0.1475
0.7500 0.3737 0.7500
0.2500 0.1263 0.2500
0.2500 0.6263 0.2500
0.7500 0.8737 0.7500
0.7500 0.8752 0.1532
0.2500 0.6248 0.6532
0.2500 0.1248 0.8468
0.7500 0.3752 0.3468
0.7500 0.1253 0.5338
0.2500 0.3747 0.0338
0.2500 0.8747 0.4662
0.7500 0.6253 0.9662

8.
Ac2AlPd, optimized geometry, DFT PBE; DFT formation energy = -479 meV per atom; V = 132.5 Å³/cell; symmetry = R3m
1.0
4.5540 0.0000 0.0000
2.2770 3.9435 0.0170
2.2770 1.2817 7.3826
Ac Al Pd
2 1 1
direct
0.8924 0.6553 0.5600
0.7132 0.4762 0.0973
0.1337 0.8966 0.8360
0.4710 0.2339 0.8241

9.
NiOsC, optimized geometry, DFT PBE; DFT formation energy = 502 meV per atom; V = 125.0 Å³/cell; ΔE to the lowest computed polymorph = 160 meV per atom; symmetry = Cm
1.0
6.5372 0.0000 0.0019
0.0000 2.7577 0.0000
-6.1695 0.0000 6.9320
Ni C Os
4 4 4
direct
0.9060 0.0000 0.4977
0.9060 0.5000 0.9977
0.4905 0.0000 0.8599
0.4905 0.5000 0.3599
0.2054 0.0000 0.1504
0.2054 0.5000 0.6504
0.3198 0.0000 0.0620
0.3198 0.5000 0.5620
0.1168 0.0000 0.3262
0.1168 0.5000 0.8262
0.6525 0.0000 0.6613
0.6525 0.5000 0.1613

10.
RhSeBr2, optimized geometry, DFT PBE; V = 98.9 Å³/cell; formation energy (no corrections) = 0.529 eV/atom; ΔE to the lowest computed polymorph = 785 meV per atom; symmetry = P4/mmm
1.0
-0.9415 -1.5529 -2.5430
1.2596 -2.6248 1.1366
-8.7537 -2.2124 4.5918
Br Rh Se
2 1 1
direct
0.0000 0.0000 0.0897
0.0000 0.0000 0.4103
0.5000 0.5000 0.2500
0.5000 0.5000 0.7500

11.
Pr2NiI, optimized geometry, DFT PBE; V = 122.6 Å³/cell; formation energy (no corrections) = -0.657 eV/atom; ΔE to the lowest computed polymorph = 0 meV per atom; symmetry = R-3m
1.0
4.1732 0.0000 0.0000
2.0866 3.6141 0.0000
2.0866 1.2047 8.1306
Pr I Ni
2 1 1
direct
0.7277 0.7277 0.8168
0.2723 0.2723 0.1832
0.5000 0.5000 0.5000
0.0000 0.0000 0.0000

12.
ZrMo2Cl, optimized geometry, DFT PBE; V = 75.3 Å³/cell; formation energy (no corrections) = -0.157 eV/atom; ΔE to the lowest computed polymorph = 0 meV per atom; symmetry = Pm
1.0
-0.7358 -2.2153 -2.1357
-1.6668 -1.5737 2.2067
-6.9719 3.0614 -0.7734
Cl Mo Zr
1 2 1
direct
0.5000 0.9442 0.7384
0.0000 0.7879 0.0503
0.5000 0.1962 0.2322
0.0000 0.5717 0.4791

Number 1: density 8.8 g/cm3. Number 2: density 4.5 g/cm3. Number 3: density 5.1 g/cm3. Number 4: density 9.3 g/cm3. Number 5: density 8.0 g/cm3. Number 6: density 7.1 g/cm3. Number 7: density 9.3 g/cm3. Number 8: density 7.4 g/cm3. Number 9: density 13.9 g/cm3. Number 10: density 5.7 g/cm3. Number 11: density 6.3 g/cm3. Number 12: density 7.0 g/cm3.